Entry 1:
{"formula": "BaSr2I", "functional": "PBE", "state": "optimized geometry", "de_polymorph_mev_per_atom": 445, "raw_formation_energy_mev_per_atom": -153, "rho_g_cm3": 3.40, "spacegroup": "Fm-3m, No. 225", "dos_ef_per_ev_cell": 4.50, "m_tot_mub_per_cell": 0.0, "energy_ev_per_atom": -1.86, "cell": [[-1.0414, -4.2114, 5.1307], [-4.1332, -5.2447, -0.7445], [2.4910, -6.2364, -0.2140]], "species": ["Sr", "Sr", "I", "Ba"], "fractional_positions": [[0.2500, 0.2500, 0.2500], [0.7500, 0.7500, 0.7500], [0.0000, 0.0000, 0.0000], [0.5000, 0.5000, 0.5000]]}

Entry 2:
{"formula": "Er6PtS5", "functional": "PBE", "state": "optimized geometry", "raw_formation_energy_mev_per_atom": -1841, "rho_g_cm3": 8.89, "spacegroup": "C2/m, No. 12", "dos_ef_per_ev_cell": 3.58, "m_tot_mub_per_cell": 0.0, "energy_ev_per_atom": -6.35, "cell": [[-5.4850, -2.1020, 3.3943], [-0.3303, 0.9807, -6.7048], [3.6674, -5.6764, 0.1392]], "species": ["Er", "Er", "Pt", "S", "S", "S", "Er", "S", "Er", "Er", "S", "Er"], "fractional_positions": [[0.7493, 0.7493, 0.2511], [0.2507, 0.2507, 0.7489], [0.0000, 0.0000, 0.0000], [0.6655, 0.3345, 0.0000], [0.5000, 0.5000, 0.5000], [0.1703, 0.8297, 0.5000], [0.4160, 0.0808, 0.2473], [0.3345, 0.6655, 0.0000], [0.0808, 0.4160, 0.2473], [0.9192, 0.5840, 0.7527], [0.8297, 0.1703, 0.5000], [0.5840, 0.9192, 0.7527]]}

Entry 3:
{"formula": "Hf3ScIn", "functional": "PBE", "state": "optimized geometry", "de_polymorph_mev_per_atom": 0, "rho_g_cm3": 10.07, "delta_e_f_ev_per_atom": -0.05, "spacegroup": "P2_1/m, No. 11", "dos_ef_per_ev_cell": 8.78, "m_tot_mub_per_cell": 0.0, "energy_ev_per_atom": -7.84, "cell": [[-0.8217, 1.1057, 2.8537], [7.6503, -4.7522, 4.0450], [5.9832, 4.8035, -0.1401]], "species": ["Hf", "Sc", "Sc", "Hf", "Hf", "In", "Hf", "In", "Hf", "Hf"], "fractional_positions": [[0.7500, 0.9643, 0.8524], [0.2500, 0.8462, 0.5398], [0.7500, 0.1538, 0.4602], [0.2500, 0.2481, 0.7492], [0.7500, 0.5477, 0.6409], [0.2500, 0.6568, 0.9415], [0.2500, 0.0357, 0.1476], [0.7500, 0.3432, 0.0585], [0.7500, 0.7519, 0.2508], [0.2500, 0.4523, 0.3591]]}

Entry 4:
{"formula": "ZnIn2Ru", "functional": "PBE", "state": "optimized geometry", "rho_g_cm3": 9.27, "delta_e_f_ev_per_atom": 0.07, "spacegroup": "Imm2, No. 44", "dos_ef_per_ev_cell": 1.80, "m_tot_mub_per_cell": 0.0, "energy_ev_per_atom": -3.94, "cell": [[-3.8453, 2.4610, 2.5791], [-4.4111, 0.6304, -2.7640], [3.1822, -4.0096, 1.1361]], "species": ["In", "In", "Zn", "Ru"], "fractional_positions": [[0.7473, 0.2473, 0.5000], [0.0025, 0.0025, 0.0000], [0.2566, 0.7566, 0.5000], [0.4936, 0.4936, 0.0000]]}